Below is CuSn2MoBr after structural relaxation, with properties calculated at the PBE-GGA level.

a b c (Å): 5.3889 5.3889 4.6806
angles (deg): 90.00 90.00 90.00
Fractional positions:
Cu: 0.0000 0.0000 0.0000
Sn: 0.0000 0.5000 0.5000
Sn: 0.5000 0.0000 0.5000
Mo: 0.0000 0.0000 0.5000
Br: 0.5000 0.5000 0.0000

**Raw total energy**: -4.32 eV per atom
**DOS at the Fermi energy**: 4.19 states/eV/cell
**SG**: P4/mmm